LiFeSe2 | GGA-PBE | optimized geometry

Computed properties:
The value obtained for the density of states at the Fermi level is 3.2 states/eV/f.u. The calculation puts the raw formation energy at -0.389 eV/atom. Its electronic total energy is -4.73 eV per atom. The value obtained for the size of the total moment is 0.990 μB per atom.

Cell lengths 3.537, 3.537, 6.418 Å; angles 90.00, 90.00, 90.00 degrees
Fractional positions:
Li1 0.000 0.000 0.000
Fe1 0.500 0.500 0.701
Se1 0.000 0.000 0.584
Se2 0.500 0.500 0.067